[1]
AgBiPb3: optimized geometry, PBE-GGA.

abc: 7.778 4.826 8.556
angles: 90.00 110.65 90.00
Sites, in units of the cell vectors:
Ag (0.076, 0.250, 0.090)
Ag (0.924, 0.750, 0.910)
Bi (0.305, 0.750, 0.721)
Bi (0.695, 0.250, 0.279)
Pb (0.007, 0.250, 0.702)
Pb (0.342, 0.250, 0.443)
Pb (0.347, 0.750, 0.117)
Pb (0.653, 0.250, 0.883)
Pb (0.658, 0.750, 0.557)
Pb (0.993, 0.750, 0.298)

Computed properties:
DFT total energy ... -3.516 eV/atom
D(E_F) ... 3.86 states/eV/cell
ΔE_f ... 0.055 eV/atom
Space-group type ... P2_1/m

[2]
Ag3Bi3Pb: optimized geometry, PBE-GGA.

abc: 7.874 7.874 7.874
angles: 90.00 90.00 90.00
Sites, in units of the cell vectors:
Ag (0.000, 0.250, 0.500)
Ag (0.000, 0.750, 0.500)
Ag (0.250, 0.500, 0.000)
Ag (0.500, 0.000, 0.250)
Ag (0.500, 0.000, 0.750)
Ag (0.750, 0.500, 0.000)
Bi (0.000, 0.500, 0.250)
Bi (0.000, 0.500, 0.750)
Bi (0.250, 0.000, 0.500)
Bi (0.500, 0.250, 0.000)
Bi (0.500, 0.750, 0.000)
Bi (0.750, 0.000, 0.500)
Pb (0.000, 0.000, 0.000)
Pb (0.500, 0.500, 0.500)

Computed properties:
DFT total energy ... -2.888 eV/atom
D(E_F) ... 15.45 states/eV/cell
ΔE_f ... 0.527 eV/atom
Space-group type ... Pm-3n

> What is the ΔE_f in the second record?

0.527 eV/atom